! MgSnHSe | Alexandria via LeMat-Bulk | PBE | relaxed; values from VASP
! Energy above the most stable polymorph in this dataset ... 14 meV per atom
&SYSTEM
  ibrav = 0, nat = 4, ntyp = 4
/
ATOMIC_SPECIES
Mg 24.30 Mg.upf
Sn 118.71 Sn.upf
H 1.01 H.upf
Se 78.96 Se.upf
CELL_PARAMETERS angstrom
3.695 0.000 0.000
-0.002 4.023 0.000
-1.839 -1.850 5.497
ATOMIC_POSITIONS crystal
Mg 0.000 0.000 0.000
Sn 0.262 0.671 0.523
H 0.177 0.170 0.355
Se 0.492 0.495 0.984



! GeTe2O5F4 | Alexandria via LeMat-Bulk | PBE | relaxed; values from VASP
! Formation energy without anion corrections ... -1361 meV/atom
&SYSTEM
  ibrav = 0, nat = 12, ntyp = 4
/
ATOMIC_SPECIES
Ge 72.64 Ge.upf
Te 127.60 Te.upf
O 16.00 O.upf
F 19.00 F.upf
CELL_PARAMETERS angstrom
7.184 0.000 0.000
0.000 5.667 2.732
0.000 -5.667 2.732
ATOMIC_POSITIONS crystal
Ge 0.000 0.000 0.000
Te 0.500 0.529 0.894
Te 0.500 0.894 0.529
O 0.325 0.213 0.709
O 0.325 0.709 0.213
O 0.500 0.716 0.716
O 0.675 0.213 0.709
O 0.675 0.709 0.213
F 0.000 0.688 0.927
F 0.000 0.927 0.688
F 0.194 0.183 0.183
F 0.806 0.183 0.183